This record from Alexandria via LeMat-Bulk describes a relaxed RbY2Ag2Te4 crystal. The functional is GGA-PBE.

POSCAR file:
```
RbY2Ag2Te4
1.0
8.1890 -2.0808 0.0000
8.1890 2.0808 0.0000
-4.0744 0.0000 7.8997
Rb Y Ag Te
1 2 2 4
direct
0.0000 0.0000 0.0000
0.1197 0.1197 0.5479
0.8803 0.8803 0.4521
0.2931 0.2931 0.9471
0.7069 0.7069 0.0529
0.2245 0.2245 0.3039
0.4608 0.4608 0.2801
0.5392 0.5392 0.7199
0.7755 0.7755 0.6961
```

Computed properties:
space-group type	C2/m
energy relative to the elements, uncorrected	-0.8420	eV per atom
final energy	-4.416	eV/atom